a) Computed, not measured: crystalline NaLuNO at its relaxed geometry at the GGA-PBE level of DFT.

Cell: 4.6179 3.6551 7.2749 Å, 90.00 90.00 90.00°
Fractional positions:
Na (0.2500, 0.0000, 0.1349)
Na (0.7500, 0.0000, 0.8651)
Lu (0.2500, 0.5000, 0.6720)
Lu (0.7500, 0.5000, 0.3280)
N (0.2500, 0.5000, 0.3637)
N (0.7500, 0.5000, 0.6363)
O (0.2500, 0.0000, 0.8184)
O (0.7500, 0.0000, 0.1816)

The spin magnetization comes out at 1.7 μB/cell.

***

b) Computed, not measured: crystalline NaLuNO at its relaxed geometry at the GGA-PBE level of DFT.

Cell: 3.3637 3.3637 4.4955 Å, 90.00 90.00 90.00°
Fractional positions:
Na (0.0000, 0.0000, 0.0000)
Lu (0.5000, 0.5000, 0.5000)
N (0.0000, 0.0000, 0.5000)
O (0.5000, 0.5000, 0.0000)

The spin magnetization comes out at 1.0 μB/cell.

***

Which one is the least stable? From the structures above, b).